1.
The following is a PBE calculation of a relaxed structure of CeTlNi, from Alexandria via LeMat-Bulk.

abc: 7.889 7.889 4.829
angles: 90.00 90.00 90.00
Element x y z (fractional)
Ce: 0.085 0.740 0.000
Ce: 0.260 0.085 0.500
Ce: 0.740 0.915 0.500
Ce: 0.915 0.260 0.000
Tl: 0.208 0.486 0.500
Tl: 0.486 0.792 0.000
Tl: 0.514 0.208 0.000
Tl: 0.792 0.514 0.500
Ni: 0.206 0.339 0.000
Ni: 0.339 0.794 0.500
Ni: 0.661 0.206 0.500
Ni: 0.794 0.661 0.000

Summary:
Energy relative to the elements ... -29 meV per atom
Space group ... P4_2/m, No. 84
Volume ... 300 Å³ per cell
Spin magnetization ... 3.284 Bohr magnetons per cell

***

2.
The following is a PBE calculation of a relaxed structure of RbAuSe5, from Alexandria via LeMat-Bulk.

abc: 9.089 9.089 6.998
angles: 101.39 101.39 122.10
Element x y z (fractional)
Rb: 0.207 0.793 0.750
Rb: 0.793 0.207 0.250
Au: 0.000 0.500 0.000
Au: 0.500 0.000 0.500
Se: 0.168 0.197 0.706
Se: 0.197 0.168 0.206
Se: 0.266 0.406 0.515
Se: 0.324 0.676 0.250
Se: 0.406 0.266 0.015
Se: 0.594 0.734 0.985
Se: 0.676 0.324 0.750
Se: 0.734 0.594 0.485
Se: 0.803 0.832 0.794
Se: 0.832 0.803 0.294

Summary:
Space group ... C2/c, No. 15
Volume ... 447 Å³ per cell
Uncorrected formation energy ... -21 kJ/mol of atoms
Spin magnetization ... 0.000 Bohr magnetons per cell

***

3.
The following is a PBE calculation of a relaxed structure of Fe2Re, from Alexandria via LeMat-Bulk.

abc: 7.021 7.021 2.605
angles: 90.00 90.00 120.00
Element x y z (fractional)
Fe: 0.000 0.307 0.000
Fe: 0.000 0.640 0.500
Fe: 0.307 0.000 0.000
Fe: 0.360 0.360 0.500
Fe: 0.640 0.000 0.500
Fe: 0.693 0.693 0.000
Re: 0.000 0.000 0.500
Re: 0.333 0.667 0.000
Re: 0.667 0.333 0.000

Summary:
Energy relative to the elements ... 161 meV per atom
Space group ... P-62m, No. 189
Volume ... 111 Å³ per cell
Spin magnetization ... 5.597 Bohr magnetons per cell

***

4.
The following is a PBE calculation of a relaxed structure of TlSnHg, from Alexandria via LeMat-Bulk.

abc: 6.528 8.525 7.839
angles: 90.00 125.96 90.00
Element x y z (fractional)
Tl: 0.219 0.211 0.103
Tl: 0.219 0.289 0.603
Tl: 0.781 0.711 0.397
Tl: 0.781 0.789 0.897
Sn: 0.256 0.577 0.934
Sn: 0.256 0.923 0.434
Sn: 0.744 0.077 0.566
Sn: 0.744 0.423 0.066
Hg: 0.257 0.584 0.333
Hg: 0.257 0.916 0.833
Hg: 0.743 0.084 0.167
Hg: 0.743 0.416 0.667

Summary:
Energy relative to the elements ... 41 meV per atom
Space group ... P2_1/c, No. 14
Volume ... 353 Å³ per cell
Spin magnetization ... 0.000 Bohr magnetons per cell
Distance to the lowest polymorph of the same formula ... 3 meV/atom

***

5.
The following is a PBE calculation of a relaxed structure of Sr2TlRh, from Alexandria via LeMat-Bulk.

abc: 7.044 7.044 7.044
angles: 149.42 136.40 54.19
Element x y z (fractional)
Sr: 0.000 0.000 0.000
Sr: 0.703 0.203 0.500
Tl: 0.324 0.824 0.500
Rh: 0.493 0.493 0.000

Summary:
Energy relative to the elements ... -198 meV per atom
Space group ... Imm2, No. 44
Volume ... 122 Å³ per cell
Spin magnetization ... 0.000 Bohr magnetons per cell
Distance to the lowest polymorph of the same formula ... 94 meV/atom

***

6.
The following is a PBE calculation of a relaxed structure of HfCuAu, from Alexandria via LeMat-Bulk.

abc: 4.862 4.969 4.969
angles: 58.61 90.00 90.00
Element x y z (fractional)
Hf: 0.250 0.249 0.751
Hf: 0.750 0.751 0.249
Cu: 0.250 0.914 0.418
Cu: 0.750 0.418 0.914
Au: 0.250 0.572 0.075
Au: 0.750 0.075 0.572

Summary:
Energy relative to the elements ... -351 meV per atom
Space group ... Ama2, No. 40
Volume ... 102 Å³ per cell
Spin magnetization ... 0.282 Bohr magnetons per cell
Distance to the lowest polymorph of the same formula ... 0 meV/atom